# 1
First-principles (PBE-GGA) data for a relaxed structure of GdLu2Cd, as listed in OQMD.

Structure (POSCAR):
```
GdLu2Cd
1.0
-0.176 1.757 -5.263
-5.374 -3.908 -1.125
-1.145 6.288 2.137
Cd Lu Gd
2 4 2
Direct
0.250 0.134 0.338 Cd
0.750 0.338 0.134 Cd
0.750 0.831 0.166 Lu
0.250 0.166 0.831 Lu
0.750 0.861 0.682 Lu
0.250 0.682 0.861 Lu
0.250 0.633 0.356 Gd
0.750 0.356 0.633 Gd
```

Computed properties:
The energy relative to the lowest polymorph listed for this composition comes out at 31 meV per atom. Its energy relative to the elements is -75 meV/atom.


# 2
First-principles (PBE-GGA) data for a relaxed structure of GdMgCd6, as listed in OQMD.

Structure (POSCAR):
```
GdMgCd6
1.0
6.518 0.000 0.000
-3.259 5.645 0.000
0.000 0.000 4.955
Cd Gd Mg
6 1 1
Direct
0.171 0.829 0.500 Cd
0.658 0.829 0.500 Cd
0.002 0.501 0.000 Cd
0.499 0.501 0.000 Cd
0.499 0.998 0.000 Cd
0.171 0.342 0.500 Cd
0.000 0.000 0.000 Gd
0.667 0.333 0.500 Mg
```

Computed properties:
As for the total DFT energy (no corrections): -1.60 eV per atom.


# 3
First-principles (PBE-GGA) data for a relaxed structure of Gd5MgCd2, as listed in OQMD.

Structure (POSCAR):
```
Gd5MgCd2
1.0
5.446 0.000 0.000
0.000 3.502 5.816
0.000 -3.502 5.816
Cd Gd Mg
2 5 1
Direct
0.500 0.662 0.662 Cd
0.000 0.337 0.337 Cd
0.500 0.155 0.651 Gd
0.500 0.651 0.155 Gd
0.500 0.164 0.164 Gd
0.000 0.835 0.354 Gd
0.000 0.354 0.835 Gd
0.000 0.841 0.841 Mg
```

Computed properties:
As for the total DFT energy (no corrections): -3.45 eV per atom.


Calculated M_tot (μB/f.u.), listed in the same order as above: 0.01; 0.02; 0.06
Calculated calculated density (g cm⁻³), listed in the same order as above: 9.2; 7.8; 7.7